Entry 1:
Computed, not measured: MoPd4Pt4 after structural relaxation at the PBE level of DFT.

The space group is I4/mmm (No. 139) and the conventional cell measures 8.392, 8.392 and 3.953 Å, with angles of 90.00, 90.00 and 90.00 degrees. Symmetry generates all atoms from Mo at (0.000, 0.000, 0.000), Pd at (0.000, 0.329, 0.000) and Pt at (0.162, 0.162, 0.500).

Its formation energy is -0.17 eV per atom. The total energy comes out at -0.46787 Ry/atom. The calculation puts the density of states at the Fermi level at 21.10 states/eV per cell.

Entry 2:
Computed, not measured: MoPd4Pt3 after structural relaxation at the PBE level of DFT.

The space group is Pmmn (No. 59, origin choice 2) and the conventional cell measures 3.948, 7.936 and 7.874 Å, with angles of 90.00, 90.00 and 90.00 degrees. Symmetry generates all atoms from Mo at (0.250, 0.250, 0.120), Pd at (0.250, 0.002, 0.372), Pd at (0.250, 0.250, 0.625), Pd at (0.250, 0.750, 0.631), Pt at (0.250, 0.505, 0.877) and Pt at (0.250, 0.750, 0.121).

Its formation energy is -0.17 eV per atom. Its relative energy among the computed polymorphs is 0 meV per atom. The total energy comes out at -0.46965 Ry/atom. The calculation puts the density of states at the Fermi level at 15.03 states/eV per cell.

Entry 3:
Computed, not measured: MoPd3Pt7 after structural relaxation at the PBE level of DFT.

The space group is Immm (No. 71) and the conventional cell measures 4.794, 8.130 and 9.637 Å, with angles of 90.00, 90.00 and 90.00 degrees. Symmetry generates all atoms from Mo at (0.000, 0.000, 0.000), Pd at (0.000, 0.000, 0.500), Pd at (0.000, 0.500, 0.233), Pt at (0.000, 0.166, 0.246), Pt at (0.000, 0.322, 0.000) and Pt at (0.000, 0.500, 0.500).

Its formation energy is 0.16 eV per atom. The total energy comes out at -0.44692 Ry/atom. The calculation puts the density of states at the Fermi level at 20.94 states/eV per cell.

Entry 4:
Computed, not measured: MoPd2Pt after structural relaxation at the PBE level of DFT.

The space group is Fm-3m (No. 225) and the conventional cell measures 6.287, 6.287 and 6.287 Å, with angles of 90.00, 90.00 and 90.00 degrees. Symmetry generates all atoms from Mo at (0.000, 0.000, 0.000), Pd at (0.250, 0.250, 0.250) and Pt at (0.000, 0.000, 0.500).

Its formation energy is 0.10 eV per atom. Its relative energy among the computed polymorphs is 244 meV per atom. The total energy comes out at -0.49377 Ry/atom. The calculation puts the density of states at the Fermi level at 22.84 states/eV per cell.

Entry 5:
Computed, not measured: MoPd3Pt2 after structural relaxation at the PBE level of DFT.

The space group is Pnma (No. 62) and the conventional cell measures 8.806, 2.756 and 15.498 Å, with angles of 90.00, 90.00 and 90.00 degrees. Symmetry generates all atoms from Mo at (0.206, 0.250, 0.160), Pd at (0.014, 0.750, 0.582), Pd at (0.029, 0.250, 0.919), Pd at (0.249, 0.250, 0.325), Pt at (0.011, 0.250, 0.740) and Pt at (0.249, 0.250, 0.512).

Its formation energy is -0.07 eV per atom. Its relative energy among the computed polymorphs is 0 meV per atom. The total energy comes out at -0.47691 Ry/atom. The calculation puts the density of states at the Fermi level at 24.67 states/eV per cell.

Entry 6:
Computed, not measured: MoPd3Pt3 after structural relaxation at the PBE level of DFT.

The space group is Cmmm (No. 65) and the conventional cell measures 7.478, 8.059 and 7.790 Å, with angles of 90.00, 90.00 and 90.00 degrees. Symmetry generates all atoms from Mo at (0.000, 0.223, 0.000), Pd at (0.000, 0.246, 0.500), Pd at (0.191, 0.500, 0.000), Pd at (0.235, 0.500, 0.500), Pt at (0.000, 0.000, 0.240) and Pt at (0.250, 0.250, 0.239).

Its formation energy is -0.01 eV per atom. Its relative energy among the computed polymorphs is 187 meV per atom. The total energy comes out at -0.46842 Ry/atom. The calculation puts the density of states at the Fermi level at 28.82 states/eV per cell.